DFT (PBE) results for a geometry-optimized Ho2Th5Sc5 structure.

Lattice parameters (Å, degrees): 4.8438 7.6924 10.3541 72.93 76.47 71.65
Fractional coordinates of all 12 atoms:
Th: 0.1662 0.1675 0.5001
Th: 0.8338 0.8325 0.4999
Th: 0.0000 0.0000 0.0000
Th: 0.7501 0.2517 0.2481
Th: 0.2499 0.7483 0.7519
Ho: 0.9181 0.4111 0.7528
Ho: 0.0819 0.5889 0.2472
Sc: 0.5000 0.5000 0.5000
Sc: 0.3325 0.3319 0.0032
Sc: 0.5838 0.0787 0.7538
Sc: 0.6675 0.6681 0.9968
Sc: 0.4162 0.9213 0.2462

M_tot (μB/f.u.): 0.000
Volume (Å³ per cell): 345.8
Final energy (eV per atom): -6.45
Crystal system: monoclinic
Energy relative to the elements (meV/atom): 45

DFT (PBE) results for a geometry-optimized Ho3Th2Sc3 structure.

Lattice parameters (Å, degrees): 6.2012 6.2012 6.2012 83.64 83.64 96.36
Fractional coordinates of all 8 atoms:
Sc: 0.2934 0.7066 0.0000
Sc: 0.0000 0.2934 0.2934
Sc: 0.7066 0.0000 0.7066
Ho: 0.2184 0.7816 0.5000
Ho: 0.7816 0.5000 0.7816
Ho: 0.5000 0.2184 0.2184
Th: 0.7651 0.7651 0.2349
Th: 0.2349 0.2349 0.7651

M_tot (μB/f.u.): 0.000
Volume (Å³ per cell): 233.7
E above lowest polymorph (meV per atom): 109
Final energy (eV per atom): -5.79
Crystal system: trigonal
Energy relative to the elements (meV/atom): 152

DFT (PBE) results for a geometry-optimized HoThSc3 structure.

Lattice parameters (Å, degrees): 5.3999 5.9574 9.0672 109.73 90.00 90.00
Fractional coordinates of all 10 atoms:
Sc: 0.4221 0.3576 0.5958
Sc: 0.9221 0.6364 0.7991
Sc: 0.9221 0.2207 0.9895
Sc: 0.4221 0.9418 0.7861
Sc: 0.4221 0.7628 0.3915
Sc: 0.9221 0.8154 0.1937
Th: 0.9221 0.0242 0.5951
Th: 0.4221 0.5541 0.9902
Ho: 0.9221 0.4309 0.3983
Ho: 0.4221 0.1473 0.1869

M_tot (μB/f.u.): 0.000
Volume (Å³ per cell): 274.6
E above lowest polymorph (meV per atom): 0
Final energy (eV per atom): -6.16
Crystal system: monoclinic
Energy relative to the elements (meV/atom): 43

DFT (PBE) results for a geometry-optimized Ho3ThSc2 structure.

Lattice parameters (Å, degrees): 4.8720 10.3888 19.8457 21.75 82.95 76.44
Fractional coordinates of all 12 atoms:
Sc: 0.3756 0.8728 0.3761
Sc: 0.8783 0.3649 0.8785
Sc: 0.1217 0.6351 0.1215
Sc: 0.6244 0.1272 0.6239
Ho: 0.2928 0.4564 0.9580
Ho: 0.7907 0.9644 0.4543
Ho: 0.0411 0.2110 0.7067
Ho: 0.9589 0.7890 0.2933
Ho: 0.7072 0.5436 0.0420
Ho: 0.2093 0.0356 0.5457
Th: 0.4605 0.2827 0.7963
Th: 0.5395 0.7173 0.2037

M_tot (μB/f.u.): 0.000
Volume (Å³ per cell): 349.1
E above lowest polymorph (meV per atom): 0
Final energy (eV per atom): -5.58
Crystal system: monoclinic
Energy relative to the elements (meV/atom): 53